1.
First-principles (GGA-PBE) data for crystalline OsCl3F6 at its relaxed geometry, as listed in the Alexandria database.

For the calculated volume, the calculation gives 190.1 Å³/f.u. The raw formation energy is -11.5 eV/f.u. For the energy, the calculation gives -3.9455 eV/atom. The calculation puts the density of states at the Fermi level at 18.78 states/eV per cell.

The structure belongs to space group C2/m (No. 12); the cell edges are 9.8881, 5.2790 and 7.3380 Å and the angles 90.00°, 96.94° and 90.00°. The inequivalent atoms are Os at (0.0000, 0.0000, 0.0000), Cl at (0.0000, 0.5000, 0.5000), Cl at (0.2311, 0.5000, 0.5057), F at (0.0635, 0.0000, 0.7679) and F at (0.1273, 0.2494, 0.0832).

2.
First-principles (GGA-PBE) data for crystalline Os2Cl5F5 at its relaxed geometry, as listed in the Alexandria database.

For the calculated volume, the calculation gives 262.8 Å³/f.u. The raw formation energy is -6.2 eV/f.u. For the energy, the calculation gives -3.9348 eV/atom. The calculation puts the density of states at the Fermi level at 3.08 states/eV per cell.

The structure belongs to space group P1 (No. 1); the cell edges are 3.5297, 7.6287 and 10.4095 Å and the angles 104.79°, 93.01° and 102.54°. The inequivalent atoms are Os at (0.0000, 0.0000, 0.0000), Os at (0.1694, 0.2353, 0.4188), Cl at (0.0176, 0.9709, 0.2228), Cl at (0.3145, 0.4881, 0.5820), Cl at (0.6014, 0.2056, 0.0318), Cl at (0.6203, 0.1031, 0.5026), Cl at (0.9444, 0.9472, 0.7782), F at (0.3236, 0.4332, 0.7420), F at (0.3825, 0.6922, 0.4336), F at (0.4158, 0.8273, 0.9808), F at (0.6975, 0.3239, 0.3339) and F at (0.9010, 0.7277, 0.4438).

3.
First-principles (GGA-PBE) data for crystalline Os2ClF at its relaxed geometry, as listed in the Alexandria database.

As for the polymorph energy (0 for the lowest one): 0.114 eV/atom. For the calculated volume, the calculation gives 52.6 Å³/f.u. The raw formation energy is 5.7 eV/f.u. For the energy, the calculation gives -5.1255 eV/atom. The calculation puts the density of states at the Fermi level at 21.60 states/eV per cell.

The structure belongs to space group Fm-3m (No. 225); the cell edges are 5.9467, 5.9467 and 5.9467 Å and the angles 90.00°, 90.00° and 90.00°. The inequivalent atoms are Os at (0.2500, 0.2500, 0.2500), Cl at (0.0000, 0.0000, 0.0000) and F at (0.0000, 0.0000, 0.5000).

4.
First-principles (GGA-PBE) data for crystalline OsClF2 at its relaxed geometry, as listed in the Alexandria database.

As for the polymorph energy (0 for the lowest one): 0.652 eV/atom. For the calculated volume, the calculation gives 70.7 Å³/f.u. The raw formation energy is 0.1 eV/f.u. For the energy, the calculation gives -4.1818 eV/atom. The calculation puts the density of states at the Fermi level at 13.41 states/eV per cell.

The structure belongs to space group I-42d (No. 122); the cell edges are 4.5232, 4.5232 and 13.8142 Å and the angles 90.00°, 90.00° and 90.00°. The inequivalent atoms are Os at (0.0000, 0.0000, 0.0000), Cl at (0.0000, 0.0000, 0.5000) and F at (0.0544, 0.2500, 0.1250).

5.
First-principles (GGA-PBE) data for crystalline POsClF2 at its relaxed geometry, as listed in the Alexandria database.

For the calculated volume, the calculation gives 69.5 Å³/f.u. The raw formation energy is -1.8 eV/f.u. For the energy, the calculation gives -4.7990 eV/atom. The calculation puts the density of states at the Fermi level at 2.85 states/eV per cell.

The structure belongs to space group P4/mmm (No. 123); the cell edges are 3.7782, 3.7782 and 4.8719 Å and the angles 90.00°, 90.00° and 90.00°. The inequivalent atoms are P at (0.0000, 0.0000, 0.0000), Os at (0.0000, 0.0000, 0.5000), Cl at (0.5000, 0.5000, 0.5000) and F at (0.0000, 0.5000, 0.0000).

6.
First-principles (GGA-PBE) data for crystalline OsPbCl2F6 at its relaxed geometry, as listed in the Alexandria database.

For the calculated volume, the calculation gives 208.2 Å³/f.u. The raw formation energy is -15.2 eV/f.u. For the energy, the calculation gives -4.5039 eV/atom.

The structure belongs to space group Pmmn (No. 59, origin choice 2); the cell edges are 7.8400, 9.1142 and 5.8275 Å and the angles 90.00°, 90.00° and 90.00°. The inequivalent atoms are Os at (0.2500, 0.2500, 0.2265), Pb at (0.2500, 0.7500, 0.1239), Cl at (0.2500, 0.6034, 0.7193), F at (0.0762, 0.2500, 0.9878), F at (0.0828, 0.2500, 0.4596) and F at (0.2500, 0.0389, 0.2221).

7.
First-principles (GGA-PBE) data for crystalline Pr4OsCl2F at its relaxed geometry, as listed in the Alexandria database.

For the calculated volume, the calculation gives 206.2 Å³/f.u. The raw formation energy is -10.5 eV/f.u. For the energy, the calculation gives -5.7975 eV/atom. The calculation puts the density of states at the Fermi level at 3.05 states/eV per cell.

The structure belongs to space group P2/m (No. 10); the cell edges are 6.7309, 4.0178 and 7.9882 Å and the angles 90.00°, 107.35° and 90.00°. The inequivalent atoms are Pr at (0.2282, 0.0000, 0.2070), Pr at (0.2598, 0.5000, 0.7893), Os at (0.5000, 0.0000, 0.0000), Cl at (0.0000, 0.0000, 0.5000), Cl at (0.5000, 0.5000, 0.5000) and F at (0.0000, 0.5000, 0.0000).

8.
First-principles (GGA-PBE) data for crystalline Pr8Os3Cl4F at its relaxed geometry, as listed in the Alexandria database.

For the calculated volume, the calculation gives 441.8 Å³/f.u. The raw formation energy is -16.8 eV/f.u. For the energy, the calculation gives -6.1225 eV/atom. The calculation puts the density of states at the Fermi level at 18.44 states/eV per cell.

The structure belongs to space group R-3m (No. 166, hexagonal axes); the cell edges are 8.1759, 8.1759 and 22.8936 Å and the angles 90.00°, 90.00° and 120.00°. The inequivalent atoms are Pr at (0.0000, 0.0000, 0.2368), Pr at (0.0076, 0.5038, 0.7651), Os at (0.0000, 0.5000, 0.5000), Cl at (0.0000, 0.0000, 0.0000), Cl at (0.0000, 0.5000, 0.0000) and F at (0.0000, 0.0000, 0.5000).

9.
First-principles (GGA-PBE) data for crystalline Os2PtClF at its relaxed geometry, as listed in the Alexandria database.

For the calculated volume, the calculation gives 87.5 Å³/f.u. The raw formation energy is 9.2 eV/f.u. For the energy, the calculation gives -4.5958 eV/atom. The calculation puts the density of states at the Fermi level at 5.61 states/eV per cell.

The structure belongs to space group P4/mmm (No. 123); the cell edges are 4.3757, 4.3757 and 4.5692 Å and the angles 90.00°, 90.00° and 90.00°. The inequivalent atoms are Os at (0.0000, 0.5000, 0.0000), Pt at (0.0000, 0.0000, 0.5000), Cl at (0.0000, 0.0000, 0.0000) and F at (0.5000, 0.5000, 0.5000).

10.
First-principles (GGA-PBE) data for crystalline Rb3OsCl2F6 at its relaxed geometry, as listed in the Alexandria database.

For the calculated volume, the calculation gives 339.7 Å³/f.u. The raw formation energy is -18.6 eV/f.u. For the energy, the calculation gives -3.9725 eV/atom. The calculation puts the density of states at the Fermi level at 17.68 states/eV per cell.

The structure belongs to space group C2/m (No. 12); the cell edges are 9.1356, 12.6333 and 5.9418 Å and the angles 90.00°, 97.83° and 90.00°. The inequivalent atoms are Rb at (0.0000, 0.0000, 0.0000), Rb at (0.2500, 0.2500, 0.5000), Os at (0.0000, 0.5000, 0.5000), Cl at (0.1374, 0.5000, 0.2159), F at (0.0167, 0.1713, 0.6997) and F at (0.1764, 0.5000, 0.7124).

11.
First-principles (GGA-PBE) data for crystalline Rb2OsCl5F at its relaxed geometry, as listed in the Alexandria database.

For the calculated volume, the calculation gives 257.7 Å³/f.u. The raw formation energy is -12.2 eV/f.u. For the energy, the calculation gives -4.0536 eV/atom. The calculation puts the density of states at the Fermi level at 6.48 states/eV per cell.

The structure belongs to space group I4mm (No. 107); the cell edges are 7.3053, 7.3053 and 9.6588 Å and the angles 90.00°, 90.00° and 90.00°. The inequivalent atoms are Rb at (0.0000, 0.5000, 0.0000), Os at (0.0000, 0.0000, 0.2543), Cl at (0.0000, 0.0000, 0.4929), Cl at (0.2293, 0.2293, 0.2494) and F at (0.0000, 0.0000, 0.0523).

12.
First-principles (GGA-PBE) data for crystalline Rb2OsCl2F4 at its relaxed geometry, as listed in the Alexandria database.

For the calculated volume, the calculation gives 203.1 Å³/f.u. The raw formation energy is -17.0 eV/f.u. For the energy, the calculation gives -4.5985 eV/atom. The calculation puts the density of states at the Fermi level at 11.98 states/eV per cell.

The structure belongs to space group I4/mmm (No. 139); the cell edges are 6.8008, 6.8008 and 8.7844 Å and the angles 90.00°, 90.00° and 90.00°. The inequivalent atoms are Rb at (0.0000, 0.5000, 0.2500), Os at (0.0000, 0.0000, 0.0000), Cl at (0.0000, 0.0000, 0.2673) and F at (0.2052, 0.2052, 0.0000).

- Which formula does entry 9 have?
  Os2PtClF

- The highest raw formation energy belongs to which entry?
  Os2PtClF